(1)
DFT (GGA-PBE) results for a relaxed Mg6MnPt5 crystal.

The formation enthalpy at 0 K comes out at -0.7149 eV per atom.

The structure belongs to space group Immm (No. 71); the cell edges are 4.221, 7.243 and 12.643 Å and the angles 90.00°, 90.00° and 90.00°. Symmetry generates all atoms from Mg at (0.000, 0.230, 0.000), Mg at (0.000, 0.261, 0.330), Mn at (0.000, 0.000, 0.500), Pt at (0.000, 0.000, 0.174), Pt at (0.000, 0.500, 0.152) and Pt at (0.000, 0.500, 0.500).



(2)
DFT (GGA-PBE) results for a relaxed Ca2AcTe4Pb crystal.

The raw formation energy is -1250 meV per atom.

The structure belongs to space group P2/m (No. 10); the cell edges are 7.984, 4.604 and 8.041 Å and the angles 90.00°, 109.42° and 90.00°. Symmetry generates all atoms from Ca at (0.000, 0.000, 0.000), Ca at (0.500, 0.500, 0.000), Ac at (0.000, 0.500, 0.500), Te at (0.250, 0.500, 0.239), Te at (0.259, 0.000, 0.765) and Pb at (0.500, 0.000, 0.500).



(3)
DFT (GGA-PBE) results for a relaxed NiIrSeBr2 crystal.

The raw formation energy is 1021 meV per atom.

The structure belongs to space group P4/mmm (No. 123); the cell edges are 4.703, 4.703 and 4.862 Å and the angles 90.00°, 90.00° and 90.00°. Symmetry generates all atoms from Ni at (0.000, 0.000, 0.000), Ir at (0.500, 0.500, 0.500), Se at (0.000, 0.000, 0.500) and Br at (0.000, 0.500, 0.000).



(4)
DFT (GGA-PBE) results for a relaxed Mg3BiRh crystal.

The formation enthalpy at 0 K comes out at 0.8803 eV per atom.

The structure belongs to space group Pm-3m (No. 221); the cell edges are 5.305, 5.305 and 5.305 Å and the angles 90.00°, 90.00° and 90.00°. Symmetry generates all atoms from Mg at (0.000, 0.000, 0.500), Bi at (0.000, 0.000, 0.000) and Rh at (0.500, 0.500, 0.500).



(5)
DFT (GGA-PBE) results for a relaxed AlPPb crystal.

The formation enthalpy at 0 K comes out at 0.6036 eV per atom.

The structure belongs to space group F-43m (No. 216); the cell edges are 6.884, 6.884 and 6.884 Å and the angles 90.00°, 90.00° and 90.00°. Symmetry generates all atoms from Al at (0.000, 0.000, 0.000), P at (0.000, 0.000, 0.500) and Pb at (0.250, 0.250, 0.250).



(6)
DFT (GGA-PBE) results for a relaxed Sr2ReP crystal.

The formation enthalpy at 0 K comes out at 0.4767 eV per atom.

The structure belongs to space group Pmmm (No. 47); the cell edges are 2.946, 3.865 and 8.402 Å and the angles 90.00°, 90.00° and 90.00°. Symmetry generates all atoms from Sr at (0.000, 0.000, 0.233), Re at (0.500, 0.500, 0.500) and P at (0.500, 0.500, 0.000).



(7)
DFT (GGA-PBE) results for a relaxed HfPtRh crystal.

The formation enthalpy at 0 K comes out at -0.7330 eV per atom.

The structure belongs to space group Immm (No. 71); the cell edges are 4.627, 5.531 and 8.071 Å and the angles 90.00°, 90.00° and 90.00°. Symmetry generates all atoms from Hf at (0.000, 0.000, 0.194), Pt at (0.000, 0.500, 0.159) and Rh at (0.000, 0.258, 0.500).



(8)
DFT (GGA-PBE) results for a relaxed Rb2Th2CuS6 crystal.

The raw formation energy is -1375 meV per atom.

The structure belongs to space group C2/m (No. 12); the cell edges are 6.909, 12.645 and 8.172 Å and the angles 90.00°, 105.21° and 90.00°. Symmetry generates all atoms from Rb at (0.000, 0.154, 0.000), Th at (0.000, 0.334, 0.500), Cu at (0.000, 0.000, 0.500), S at (0.232, 0.000, 0.344) and S at (0.237, 0.180, 0.699).



(9)
DFT (GGA-PBE) results for a relaxed La2Pm4Ho2Tm crystal.

The formation enthalpy at 0 K comes out at 0.0068 eV per atom.

The structure belongs to space group C2/m (No. 12); the cell edges are 18.952, 3.666 and 9.709 Å and the angles 90.00°, 115.65° and 90.00°. Symmetry generates all atoms from La at (0.165, 0.000, 0.498), Pm at (0.019, 0.000, 0.835), Pm at (0.186, 0.500, 0.835), Ho at (0.147, 0.500, 0.165) and Tm at (0.000, 0.500, 0.500).



(10)
DFT (GGA-PBE) results for a relaxed NbInSnBi2 crystal.

The formation enthalpy at 0 K comes out at 0.4861 eV per atom.

The structure belongs to space group P4/mmm (No. 123); the cell edges are 5.507, 5.507 and 5.492 Å and the angles 90.00°, 90.00° and 90.00°. Symmetry generates all atoms from Nb at (0.000, 0.000, 0.000), In at (0.000, 0.000, 0.500), Sn at (0.500, 0.500, 0.500) and Bi at (0.000, 0.500, 0.000).



(11)
DFT (GGA-PBE) results for a relaxed Pr9Er4Tl11 crystal.

The formation enthalpy at 0 K comes out at -0.2983 eV per atom.

The structure belongs to space group Cmmm (No. 65); the cell edges are 17.930, 22.279 and 3.562 Å and the angles 90.00°, 90.00° and 90.00°. Symmetry generates all atoms from Pr at (0.000, 0.000, 0.000), Pr at (0.115, 0.244, 0.000), Pr at (0.126, 0.416, 0.000), Er at (0.149, 0.089, 0.000), Tl at (0.000, 0.134, 0.500), Tl at (0.000, 0.336, 0.500), Tl at (0.000, 0.500, 0.500), Tl at (0.246, 0.325, 0.500) and Tl at (0.249, 0.000, 0.500).



(12)
DFT (GGA-PBE) results for a relaxed ScTeOs2 crystal.

The raw formation energy is 202 meV per atom.

The structure belongs to space group I-4m2 (No. 119); the cell edges are 3.928, 3.928 and 8.790 Å and the angles 90.00°, 90.00° and 90.00°. Symmetry generates all atoms from Sc at (0.000, 0.000, 0.000), Te at (0.000, 0.500, 0.750), Os at (0.000, 0.000, 0.500) and Os at (0.000, 0.500, 0.250).



(13)
DFT (GGA-PBE) results for a relaxed CsCdF2 crystal.

The raw formation energy is -1919 meV per atom.

The structure belongs to space group I-42d (No. 122); the cell edges are 6.507, 6.507 and 10.480 Å and the angles 90.00°, 90.00° and 90.00°. Symmetry generates all atoms from Cs at (0.000, 0.000, 0.000), Cd at (0.000, 0.000, 0.500) and F at (0.177, 0.250, 0.625).



(14)
DFT (GGA-PBE) results for a relaxed Pm2NbPb crystal.

The formation enthalpy at 0 K comes out at 0.4477 eV per atom.

The structure belongs to space group R-3m (No. 166, hexagonal axes); the cell edges are 3.3205, 3.3205 and 34.9531 Å and the angles 90.00°, 90.00° and 120.00°. Symmetry generates all atoms from Pm at (0.0000, 0.0000, 0.0850), Nb at (0.0000, 0.0000, 0.0000) and Pb at (0.0000, 0.0000, 0.5000).



(15)
DFT (GGA-PBE) results for a relaxed LiAsPb2S4 crystal.

The raw formation energy is -474 meV per atom.

The structure belongs to space group Imma (No. 74); the cell edges are 7.885, 8.063 and 11.126 Å and the angles 90.00°, 90.00° and 90.00°. Symmetry generates all atoms from Li at (0.000, 0.000, 0.000), As at (0.250, 0.250, 0.250), Pb at (0.000, 0.000, 0.500), Pb at (0.250, 0.250, 0.750), S at (0.000, 0.028, 0.237) and S at (0.231, 0.250, 0.015).



(16)
DFT (GGA-PBE) results for a relaxed Zr2Rh crystal.

The formation enthalpy at 0 K comes out at -0.2778 eV per atom.

The structure belongs to space group I4_1/amd (No. 141, origin choice 2); the cell edges are 3.035, 3.035 and 26.419 Å and the angles 90.00°, 90.00° and 90.00°. Symmetry generates all atoms from Zr at (0.000, 0.250, 0.304) and Rh at (0.000, 0.250, 0.875).



(17)
DFT (GGA-PBE) results for a relaxed Tl4AgIr crystal.

The formation enthalpy at 0 K comes out at 0.8758 eV per atom.

The structure belongs to space group F-43m (No. 216); the cell edges are 8.604, 8.604 and 8.604 Å and the angles 90.00°, 90.00° and 90.00°. Symmetry generates all atoms from Tl at (0.125, 0.125, 0.125), Ag at (0.250, 0.250, 0.750) and Ir at (0.000, 0.000, 0.500).



(18)
DFT (GGA-PBE) results for a relaxed Pb4SeS3 crystal.

The raw formation energy is -540 meV per atom.

The structure belongs to space group Cmmm (No. 65); the cell edges are 8.563, 12.107 and 4.279 Å and the angles 90.00°, 90.00° and 90.00°. Symmetry generates all atoms from Pb at (0.000, 0.247, 0.000), Pb at (0.244, 0.000, 0.500), Se at (0.000, 0.500, 0.000), S at (0.000, 0.000, 0.000) and S at (0.250, 0.250, 0.500).



(19)
DFT (GGA-PBE) results for a relaxed TiIn3Sn crystal.

The formation enthalpy at 0 K comes out at 1.0477 eV per atom.

The structure belongs to space group Pm-3m (No. 221); the cell edges are 5.567, 5.567 and 5.567 Å and the angles 90.00°, 90.00° and 90.00°. Symmetry generates all atoms from Ti at (0.000, 0.000, 0.000), In at (0.000, 0.500, 0.500) and Sn at (0.500, 0.500, 0.500).



(20)
DFT (GGA-PBE) results for a relaxed MgCdCu crystal.

The formation enthalpy at 0 K comes out at -0.0596 eV per atom.

The structure belongs to space group P2_1/m (No. 11); the cell edges are 4.509, 4.517 and 5.652 Å and the angles 90.00°, 112.84° and 90.00°. Symmetry generates all atoms from Mg at (0.106, 0.250, 0.210), Cd at (0.404, 0.250, 0.808) and Cu at (0.248, 0.750, 0.496).



Number 1: volume 16.104 Å³/atom. Number 2: volume 34.847 Å³/atom. Number 3: volume 21.505 Å³/atom. Number 4: volume 29.866 Å³/atom. Number 5: volume 27.187 Å³/atom. Number 6: volume 23.915 Å³/atom. Number 7: volume 17.212 Å³/atom. Number 8: volume 31.312 Å³/atom. Number 9: volume 33.787 Å³/atom. Number 10: volume 33.316 Å³/atom. Number 11: volume 29.647 Å³/atom. Number 12: volume 16.956 Å³/atom. Number 13: volume 27.729 Å³/atom. Number 14: volume 27.812 Å³/atom. Number 15: volume 22.106 Å³/atom. Number 16: volume 20.274 Å³/atom. Number 17: volume 26.535 Å³/atom. Number 18: volume 27.729 Å³/atom. Number 19: volume 34.506 Å³/atom. Number 20: volume 17.685 Å³/atom.